SrSmCr4O12: relaxed, PBE with a Hubbard U.

Unit cell a=5.332 b=5.332 c=7.599 alpha=90.00 beta=90.00 gamma=90.00
Site moments in Bohr magnetons follow the coordinates.
Fractional positions:
O 0.745 0.745 0.240  -0.22
O 0.255 0.745 0.760  -0.22
O 0.745 0.745 0.760  -0.22
O 0.255 0.745 0.240  -0.22
O 0.255 0.255 0.240  -0.22
O 0.500 0.000 0.500  -0.20
O 0.255 0.255 0.760  -0.22
O 0.500 0.000 0.000  -0.23
O 0.745 0.255 0.240  -0.22
O 0.745 0.255 0.760  -0.22
O 0.000 0.500 0.500  -0.20
O 0.000 0.500 0.000  -0.23
Cr 0.500 0.000 0.748  1.97
Cr 0.500 0.000 0.252  1.97
Cr 0.000 0.500 0.252  1.97
Cr 0.000 0.500 0.748  1.97
Sm 0.500 0.500 0.000  0.03
Sr 0.000 0.000 0.500  0.00

Output
The magnetization is 5.0 Bohr magnetons per cell. For the total energy, the calculation gives -0.5139 Ry/atom. As for the calculated volume: 12.001 Å³/atom.

---

SrSmZrCrO6: relaxed, PBE with a Hubbard U.

Unit cell a=5.703 b=5.703 c=5.703 alpha=60.00 beta=60.00 gamma=60.00
Site moments in Bohr magnetons follow the coordinates.
Fractional positions:
Sr 0.250 0.250 0.250  0.00
O 0.756 0.756 0.244  -0.01
O 0.244 0.756 0.756  -0.01
O 0.244 0.244 0.756  -0.01
O 0.244 0.756 0.244  -0.01
O 0.756 0.244 0.756  -0.01
O 0.756 0.244 0.244  -0.01
Zr 0.500 0.500 0.500  0.01
Cr 0.000 0.000 0.000  2.89
Sm 0.750 0.750 0.750  0.02

Output
The magnetization is 3.0 Bohr magnetons per cell. For the total energy, the calculation gives -0.5914 Ry/atom. As for the calculated volume: 13.113 Å³/atom.

---

SmTaCr2O6: relaxed, PBE with a Hubbard U.

Unit cell a=5.392 b=5.431 c=5.764 alpha=62.11 beta=62.13 gamma=59.94
Site moments in Bohr magnetons follow the coordinates.
Fractional positions:
O 0.592 0.244 0.228  0.01
O 0.247 0.935 0.227  -0.01
O 0.933 0.587 0.231  -0.01
O 0.148 0.377 0.758  0.00
O 0.377 0.717 0.762  -0.01
O 0.716 0.149 0.759  0.00
Cr 0.514 0.515 0.456  1.97
Cr 0.009 0.009 0.972  2.05
Ta 0.316 0.320 0.045  -0.07
Sm 0.809 0.807 0.579  -0.03

Output
The magnetization is 4.0 Bohr magnetons per cell. For the total energy, the calculation gives -0.6166 Ry/atom. As for the calculated volume: 12.297 Å³/atom.

---

SmTaCr2O8: relaxed, PBE with a Hubbard U.

Unit cell a=4.766 b=4.764 c=6.409 alpha=91.10 beta=91.10 gamma=88.20
Site moments in Bohr magnetons follow the coordinates.
Fractional positions:
O 0.693 0.693 0.993  -0.14
O 0.209 0.791 0.782  -0.05
O 0.333 0.332 0.512  -0.17
O 0.667 0.668 0.488  -0.17
O 0.792 0.210 0.782  -0.05
O 0.791 0.209 0.218  -0.05
O 0.307 0.307 0.007  -0.14
O 0.208 0.790 0.218  -0.05
Cr 0.501 0.501 0.247  2.38
Cr 0.499 0.499 0.753  2.38
Sm 0.000 0.000 0.500  0.01
Ta 0.000 0.000 0.000  0.05

Output
The magnetization is 4.0 Bohr magnetons per cell. For the total energy, the calculation gives -0.6010 Ry/atom. As for the calculated volume: 12.115 Å³/atom.

---

SmCrTeO6: relaxed, PBE with a Hubbard U.

Unit cell a=5.496 b=5.496 c=8.554 alpha=90.00 beta=90.00 gamma=120.00
Site moments in Bohr magnetons follow the coordinates.
Fractional positions:
Te 0.667 0.333 0.750  0.01
Te 0.333 0.667 0.250  0.01
O 0.304 0.948 0.379  -0.02
O 0.948 0.304 0.879  -0.02
O 0.052 0.356 0.379  -0.02
O 0.696 0.644 0.879  -0.02
O 0.948 0.644 0.621  -0.02
O 0.052 0.696 0.121  -0.02
O 0.304 0.356 0.121  -0.02
O 0.356 0.304 0.621  -0.02
O 0.356 0.052 0.879  -0.02
O 0.644 0.948 0.121  -0.02
O 0.644 0.696 0.379  -0.02
O 0.696 0.052 0.621  -0.02
Sm 0.333 0.667 0.750  0.01
Sm 0.667 0.333 0.250  0.01
Cr 0.000 0.000 0.500  2.99
Cr 0.000 0.000 0.000  2.99

Output
The magnetization is 6.0 Bohr magnetons per cell. For the total energy, the calculation gives -0.4979 Ry/atom. As for the calculated volume: 12.433 Å³/atom. Its distance to the lowest polymorph of the same formula is 0.3026 eV per atom.

---

SmCrTeO6: relaxed, PBE with a Hubbard U.

Unit cell a=5.214 b=5.214 c=10.079 alpha=90.00 beta=90.00 gamma=120.00
Site moments in Bohr magnetons follow the coordinates.
Fractional positions:
O 0.010 0.640 0.642  -0.01
O 0.630 0.990 0.642  -0.01
O 0.360 0.990 0.858  -0.01
O 0.990 0.630 0.142  -0.01
O 0.370 0.010 0.358  -0.01
O 0.360 0.370 0.642  -0.01
O 0.010 0.370 0.858  -0.01
O 0.990 0.360 0.358  -0.01
O 0.640 0.630 0.358  -0.01
O 0.640 0.010 0.142  -0.01
O 0.630 0.640 0.858  -0.01
O 0.370 0.360 0.142  -0.01
Sm 0.000 0.000 0.000  0.01
Sm 0.000 0.000 0.500  0.01
Te 0.667 0.333 0.250  0.02
Te 0.333 0.667 0.750  0.02
Cr 0.667 0.333 0.750  2.96
Cr 0.333 0.667 0.250  2.96

Output
The magnetization is 6.0 Bohr magnetons per cell. For the total energy, the calculation gives -0.5201 Ry/atom. As for the calculated volume: 13.184 Å³/atom. Its distance to the lowest polymorph of the same formula is 0.0000 eV per atom.

---

Sm2TiCrO6: relaxed, PBE with a Hubbard U.

Unit cell a=4.943 b=5.290 c=5.290 alpha=90.00 beta=90.00 gamma=90.00
Site moments in Bohr magnetons follow the coordinates.
Fractional positions:
O 0.722 0.239 0.761  -0.01
O 0.722 0.239 0.239  -0.01
O 0.722 0.761 0.239  -0.01
O 0.156 0.500 0.500  0.03
O 0.722 0.761 0.761  -0.01
O 0.212 0.000 0.000  0.01
Ti 0.584 0.000 0.000  0.09
Sm 0.005 0.000 0.500  0.02
Sm 0.005 0.500 0.000  0.02
Cr 0.598 0.500 0.500  3.67

Output
The magnetization is 4.0 Bohr magnetons per cell. For the total energy, the calculation gives -0.6093 Ry/atom. As for the calculated volume: 13.832 Å³/atom.

---

SmTlCr2O8: relaxed, PBE with a Hubbard U.

Unit cell a=6.266 b=6.266 c=6.266 alpha=105.68 beta=105.68 gamma=117.36
Fractional positions:
O 0.750 0.083 0.667
O 0.469 0.650 0.819
O 0.350 0.169 0.819
O 0.917 0.250 0.333
O 0.350 0.531 0.181
O 0.415 0.083 0.333
O 0.831 0.650 0.181
O 0.917 0.585 0.667
Cr 0.750 0.250 0.500
Cr 0.500 0.500 0.000
Sm 0.250 0.750 0.500
Tl 0.000 0.000 0.000

Output
The magnetization is 0.0 Bohr magnetons per cell. For the total energy, the calculation gives -0.4999 Ry/atom. As for the calculated volume: 15.555 Å³/atom.

---

SmTmCr2O8: relaxed, PBE with a Hubbard U.

Unit cell a=6.014 b=6.014 c=6.014 alpha=105.95 beta=105.95 gamma=116.76
Site moments in Bohr magnetons follow the coordinates.
Fractional positions:
O 0.858 0.678 0.180  -0.03
O 0.322 0.502 0.180  -0.03
O 0.322 0.142 0.820  -0.03
O 0.498 0.678 0.820  -0.03
O 0.393 0.080 0.313  -0.02
O 0.920 0.233 0.313  -0.02
O 0.767 0.080 0.687  -0.02
O 0.920 0.607 0.687  -0.02
Sm 0.250 0.750 0.500  0.02
Cr 0.500 0.500 0.000  1.11
Cr 0.750 0.250 0.500  1.09
Tm 0.000 0.000 0.000  0.03

Output
The magnetization is 2.0 Bohr magnetons per cell. For the total energy, the calculation gives -0.5614 Ry/atom. As for the calculated volume: 13.783 Å³/atom.

---

SmUCr2O8: relaxed, PBE with a Hubbard U.

Unit cell a=4.847 b=4.848 c=7.100 alpha=84.92 beta=84.93 gamma=83.99
Site moments in Bohr magnetons follow the coordinates.
Fractional positions:
O 0.205 0.781 0.764  -0.06
O 0.670 0.671 0.499  -0.16
O 0.726 0.727 0.054  -0.03
O 0.274 0.273 0.946  -0.03
O 0.330 0.329 0.501  -0.16
O 0.795 0.219 0.236  -0.06
O 0.218 0.794 0.236  -0.06
O 0.782 0.206 0.764  -0.06
U 0.000 0.000 0.000  0.11
Cr 0.462 0.462 0.712  2.70
Cr 0.538 0.538 0.288  2.70
Sm 0.000 0.000 0.500  0.02

Output
The magnetization is 5.0 Bohr magnetons per cell. For the total energy, the calculation gives -0.6132 Ry/atom. As for the calculated volume: 13.728 Å³/atom.

---

SmUCrO6: relaxed, PBE with a Hubbard U.

Unit cell a=5.400 b=5.400 c=10.041 alpha=90.00 beta=90.00 gamma=120.00
Site moments in Bohr magnetons follow the coordinates.
Fractional positions:
O 0.649 0.641 0.640  -0.02
O 0.359 0.351 0.860  -0.02
O 0.351 0.359 0.360  -0.02
O 0.359 0.009 0.640  -0.02
O 0.009 0.649 0.360  -0.02
O 0.991 0.641 0.860  -0.02
O 0.991 0.351 0.640  -0.02
O 0.641 0.991 0.360  -0.02
O 0.009 0.359 0.140  -0.02
O 0.649 0.009 0.860  -0.02
O 0.351 0.991 0.140  -0.02
O 0.641 0.649 0.140  -0.02
Cr 0.667 0.333 0.750  2.93
Cr 0.333 0.667 0.250  2.93
U 0.667 0.333 0.250  0.08
U 0.333 0.667 0.750  0.08
Sm 0.000 0.000 0.500  0.01
Sm 0.000 0.000 0.000  0.01

Output
The magnetization is 6.0 Bohr magnetons per cell. For the total energy, the calculation gives -0.6493 Ry/atom. As for the calculated volume: 14.087 Å³/atom.

---

Sm2ZnCrO6: relaxed, PBE with a Hubbard U.

Unit cell a=5.428 b=5.698 c=7.699 alpha=90.00 beta=90.77 gamma=90.00
Site moments in Bohr magnetons follow the coordinates.
Fractional positions:
O 0.103 0.468 0.739  -0.04
O 0.204 0.192 0.053  -0.01
O 0.296 0.692 0.447  -0.01
O 0.897 0.532 0.261  -0.04
O 0.603 0.032 0.239  -0.04
O 0.796 0.808 0.947  -0.01
O 0.319 0.715 0.055  -0.04
O 0.704 0.308 0.553  -0.01
O 0.181 0.215 0.445  -0.04
O 0.681 0.285 0.945  -0.04
O 0.819 0.785 0.555  -0.04
O 0.397 0.968 0.761  -0.04
Zn 0.000 0.500 0.000  -0.01
Zn 0.500 0.000 0.500  -0.01
Sm 0.519 0.566 0.748  0.01
Sm 0.019 0.934 0.248  0.01
Sm 0.481 0.434 0.252  0.01
Sm 0.981 0.066 0.752  0.01
Cr 0.500 0.000 0.000  2.13
Cr 0.000 0.500 0.500  2.13

Output
The magnetization is 3.9 Bohr magnetons per cell. For the total energy, the calculation gives -0.5368 Ry/atom. As for the calculated volume: 11.904 Å³/atom.

---

Cr3SnO6: relaxed, PBE with a Hubbard U.

Unit cell a=5.256 b=5.446 c=7.754 alpha=90.00 beta=89.95 gamma=90.00
Site moments in Bohr magnetons follow the coordinates.
Fractional positions:
O 0.146 0.076 0.750  -0.07
O 0.854 0.924 0.250  -0.07
O 0.296 0.802 0.398  -0.07
O 0.704 0.198 0.602  -0.07
O 0.354 0.576 0.750  -0.07
O 0.839 0.680 0.546  -0.06
O 0.796 0.698 0.898  -0.07
O 0.204 0.302 0.102  -0.07
O 0.646 0.424 0.250  -0.07
O 0.161 0.320 0.454  -0.06
O 0.661 0.180 0.954  -0.06
O 0.339 0.820 0.046  -0.06
Cr 0.003 0.570 0.290  3.47
Cr 0.500 0.500 0.000  3.05
Cr 0.997 0.430 0.710  3.47
Cr 0.503 0.930 0.790  3.47
Cr 0.497 0.070 0.210  3.47
Cr 0.000 0.000 0.500  3.05
Sn 0.000 0.000 0.000  0.04
Sn 0.500 0.500 0.500  0.04

Output
The magnetization is 20.0 Bohr magnetons per cell. For the total energy, the calculation gives -0.5349 Ry/atom. As for the calculated volume: 11.097 Å³/atom.

---

Cr5Sn3O12: relaxed, PBE with a Hubbard U.

Unit cell a=11.044 b=11.044 c=11.044 alpha=109.47 beta=109.47 gamma=109.47
Site moments in Bohr magnetons follow the coordinates.
Fractional positions:
O 0.631 0.614 0.940  -0.15
O 0.191 0.674 0.060  -0.15
O 0.809 0.483 0.369  -0.15
O 0.483 0.809 0.869  -0.15
O 0.869 0.560 0.886  -0.15
O 0.326 0.517 0.386  -0.15
O 0.517 0.326 0.886  -0.15
O 0.691 0.560 0.174  -0.15
O 0.983 0.369 0.309  -0.15
O 0.131 0.691 0.517  -0.15
O 0.309 0.440 0.826  -0.15
O 0.674 0.483 0.614  -0.15
O 0.560 0.869 0.386  -0.15
O 0.174 0.060 0.691  -0.15
O 0.940 0.826 0.809  -0.15
O 0.440 0.131 0.614  -0.15
O 0.886 0.826 0.517  -0.15
O 0.060 0.174 0.191  -0.15
O 0.614 0.983 0.674  -0.15
O 0.631 0.017 0.191  -0.15
O 0.940 0.114 0.631  -0.15
O 0.326 0.809 0.440  -0.15
O 0.017 0.386 0.826  -0.15
O 0.483 0.674 0.114  -0.15
O 0.174 0.114 0.983  -0.15
O 0.191 0.517 0.631  -0.15
O 0.386 0.369 0.560  -0.15
O 0.114 0.940 0.131  -0.15
O 0.131 0.440 0.114  -0.15
O 0.017 0.631 0.691  -0.15
O 0.869 0.309 0.483  -0.15
O 0.614 0.631 0.440  -0.15
O 0.809 0.326 0.940  -0.15
O 0.369 0.983 0.809  -0.15
O 0.369 0.386 0.060  -0.15
O 0.560 0.691 0.674  -0.15
O 0.826 0.940 0.309  -0.15
O 0.309 0.869 0.983  -0.15
O 0.440 0.309 0.326  -0.15
O 0.386 0.017 0.326  -0.15
O 0.826 0.886 0.017  -0.15
O 0.691 0.131 0.017  -0.15
O 0.886 0.060 0.869  -0.15
O 0.674 0.191 0.560  -0.15
O 0.060 0.886 0.369  -0.15
O 0.517 0.191 0.131  -0.15
O 0.983 0.614 0.174  -0.15
O 0.114 0.174 0.483  -0.15
Sn 0.375 0.625 0.250  -0.19
Sn 0.750 0.375 0.125  -0.19
Sn 0.625 0.375 0.750  -0.19
Sn 0.875 0.750 0.125  -0.19
Sn 0.750 0.875 0.625  -0.19
Sn 0.125 0.250 0.875  -0.19
Sn 0.125 0.875 0.750  -0.19
Sn 0.250 0.625 0.875  -0.19
Sn 0.625 0.250 0.375  -0.19
Sn 0.375 0.750 0.625  -0.19
Sn 0.875 0.125 0.250  -0.19
Sn 0.250 0.125 0.375  -0.19
Cr 0.875 0.250 0.625  2.76
Cr 0.500 0.500 0.000  2.94
Cr 0.500 0.000 0.500  2.94
Cr 0.500 0.000 0.000  2.94
Cr 0.750 0.625 0.375  2.76
Cr 0.375 0.125 0.750  2.76
Cr 0.000 0.500 0.000  2.94
Cr 0.375 0.250 0.125  2.76
Cr 0.250 0.875 0.125  2.76
Cr 0.000 0.500 0.500  2.94
Cr 0.500 0.500 0.500  2.94
Cr 0.125 0.375 0.250  2.76
Cr 0.000 0.000 0.500  2.94
Cr 0.625 0.875 0.250  2.76
Cr 0.875 0.625 0.750  2.76
Cr 0.250 0.375 0.625  2.76
Cr 0.750 0.125 0.875  2.76
Cr 0.625 0.750 0.875  2.76
Cr 0.000 0.000 0.000  2.94
Cr 0.125 0.750 0.375  2.76

Output
The magnetization is 48.2 Bohr magnetons per cell. For the total energy, the calculation gives -0.5106 Ry/atom. As for the calculated volume: 12.962 Å³/atom.

---

Cr3SnO: relaxed, PBE with a Hubbard U.

Unit cell a=5.259 b=5.259 c=5.259 alpha=90.00 beta=90.00 gamma=90.00
Site moments in Bohr magnetons follow the coordinates.
Fractional positions:
Cr 0.500 0.000 0.000  4.09
Cr 0.000 0.000 0.500  4.31
Cr 0.000 0.500 0.000  4.21
O 0.500 0.500 0.500  -0.97
Sn 0.000 0.000 0.000  -0.40

Output
The magnetization is 12.0 Bohr magnetons per cell. For the total energy, the calculation gives -0.3750 Ry/atom. As for the calculated volume: 29.094 Å³/atom. Its distance to the lowest polymorph of the same formula is 0.3733 eV per atom.

---

CrSn2O: relaxed, PBE with a Hubbard U.

Unit cell a=4.726 b=4.726 c=4.726 alpha=60.00 beta=60.00 gamma=60.00
Site moments in Bohr magnetons follow the coordinates.
Fractional positions:
Sn 0.250 0.250 0.250  0.02
Sn 0.750 0.750 0.750  0.02
Cr 0.500 0.500 0.500  -0.26
O 0.000 0.000 0.000  0.04

Output
The magnetization is 0.1 Bohr magnetons per cell. For the total energy, the calculation gives -0.3172 Ry/atom. As for the calculated volume: 18.657 Å³/atom. Its distance to the lowest polymorph of the same formula is 0.3804 eV per atom.

---

CrSnO: relaxed, PBE with a Hubbard U.

Unit cell a=3.359 b=3.359 c=11.389 alpha=81.52 beta=81.52 gamma=60.00
Site moments in Bohr magnetons follow the coordinates.
Fractional positions:
Sn 0.128 0.128 0.616  0.00
Sn 0.872 0.872 0.384  0.00
O 0.367 0.367 0.900  -0.14
O 0.633 0.633 0.100  -0.14
Cr 0.711 0.711 0.866  3.64
Cr 0.289 0.289 0.134  3.64

Output
The magnetization is 7.5 Bohr magnetons per cell. For the total energy, the calculation gives -0.4561 Ry/atom. As for the calculated volume: 18.274 Å³/atom.